DFT (PBE) results for an optimized crystal structure of Mg2Pa4Br.

DFT total energy = -0.220 Ha/atom
Calculated volume = 177 Å³/cell

Lattice parameters (Å, degrees): 3.1756 3.1756 20.2510 90.00 90.00 120.00
Last column: nearest neighbours and their distance in Å.
Fractional positions:
Br (0.0000, 0.0000, 0.5000)  6 Pa 3.12, 6 Br 3.18
Mg (0.3333, 0.6667, 0.2124)  6 Mg 3.18, 4 Pa 3.30-3.39
Mg (0.6667, 0.3333, 0.7876)  6 Mg 3.18, 4 Pa 3.30-3.39
Pa (0.6667, 0.3333, 0.0714)  9 Pa 3.18-3.42, 3 Mg 3.39
Pa (0.3333, 0.6667, 0.3753)  3 Br 3.12, 6 Pa 3.18, 1 Mg 3.30
Pa (0.6667, 0.3333, 0.6247)  3 Br 3.12, 6 Pa 3.18, 1 Mg 3.30
Pa (0.3333, 0.6667, 0.9286)  9 Pa 3.18-3.42, 3 Mg 3.39